No. 1
ScAlRe2: relaxed, PBE.

Properties
Space-group type: No. 166
Total magnetization in μB per formula unit: 0.0

Cell: 9.1565 9.1565 9.1565 Å, 18.03 18.03 18.03°
Closest atoms and distances in Å follow each position.
Fractional coordinates of all 4 atoms:
Sc (0.0000, 0.0000, 0.0000)  6 Sc 2.87, 6 Re 2.89
Al (0.5000, 0.5000, 0.5000)  6 Re 2.70, 6 Al 2.87
Re (0.2455, 0.2455, 0.2455)  3 Al 2.70, 6 Re 2.87, 3 Sc 2.89
Re (0.7545, 0.7545, 0.7545)  3 Al 2.70, 6 Re 2.87, 3 Sc 2.89

No. 2
Hf2ZnBi: relaxed, PBE.

Properties
Excess energy over the best structure of this formula in the dataset in meV/atom: 0
Space-group type: No. 123
Total magnetization in μB per formula unit: 0.0

Cell: 4.4086 4.4086 4.3551 Å, 90.00 90.00 90.00°
Closest atoms and distances in Å follow each position.
Fractional coordinates of all 4 atoms:
Hf (0.0000, 0.5000, 0.0000)  4 Bi 3.10, 4 Zn 3.10, 4 Hf 3.12
Hf (0.5000, 0.0000, 0.0000)  4 Bi 3.10, 4 Zn 3.10, 4 Hf 3.12
Zn (0.0000, 0.0000, 0.5000)  8 Hf 3.10, 4 Bi 3.12
Bi (0.5000, 0.5000, 0.5000)  8 Hf 3.10, 4 Zn 3.12

No. 3
K2Cd3Ag: relaxed, PBE.

Properties
Excess energy over the best structure of this formula in the dataset in meV/atom: 0
Space-group type: No. 12
Total magnetization in μB per formula unit: 0.0

Cell: 6.2507 6.2507 6.2605 Å, 119.38 119.38 60.67°
Closest atoms and distances in Å follow each position.
Fractional coordinates of all 6 atoms:
K (0.1261, 0.1261, 0.3781)  3 Ag 3.66-3.69, 9 Cd 3.67-3.71, 4 K 3.80-3.90
K (0.8739, 0.8739, 0.6219)  3 Ag 3.66-3.69, 9 Cd 3.67-3.71, 4 K 3.80-3.90
Cd (0.0000, 0.5000, 0.0000)  4 Cd 3.13-3.16, 2 Ag 3.16
Cd (0.5000, 0.0000, 0.0000)  4 Cd 3.13-3.16, 2 Ag 3.16
Cd (0.5000, 0.5000, 0.0000)  4 Cd 3.13, 2 Ag 3.13
Ag (0.5000, 0.5000, 0.5000)  6 Cd 3.13-3.16

For each record above, in turn, the calculated DFT formation energy values are 0.142; -0.020; -0.076 eV per atom.